The following is a GGA-PBE calculation of a relaxed structure of HfCoSn2, from OQMD.

Raw total energy in eV/cell: -24.1
Size of the total moment in μB per atom: 0.25

Cell: 4.815 4.815 4.815 Å, 60.00 60.00 60.00°
Site moments in Bohr magnetons follow the coordinates.
Fractional positions:
Co1 0.500 0.500 0.500  0.99
Hf1 0.250 0.250 0.250  -0.02
Sn1 0.000 0.000 0.000  0.08
Sn2 0.750 0.750 0.750  0.01